Below is an optimized crystal structure of DyTm2Zn2, with properties calculated at the PBE level.

Summary:
energy above the most stable polymorph in this dataset = 0 meV/atom
total magnetization = 0.000 μB per formula unit
energy of formation = -275 meV/atom

Lattice parameters (Å, degrees): 3.5623 5.1056 13.1856 90.00 97.76 90.00
Last column: nearest neighbours and their distance in Å.
Space group P2_1/m (No. 11)
One atom of each set of equivalent atoms:
Dy 0.1453 0.2500 0.2881 [2 per cell]  6 Zn 3.07-3.12
Tm 0.0462 0.7500 0.0923 [2 per cell]  8 Zn 3.03-3.11
Tm 0.2323 0.7500 0.4652 [2 per cell]  2 Zn 3.00-3.01, 4 Tm 3.24
Zn 0.3597 0.2500 0.7200 [2 per cell]  4 Tm 3.00-3.03, 4 Dy 3.11-3.12
Zn 0.4520 0.7500 0.9037 [2 per cell]  6 Tm 3.04-3.11, 2 Dy 3.07-3.08



Below is an optimized crystal structure of Dy2TmZn2, with properties calculated at the PBE level.

Summary:
energy above the most stable polymorph in this dataset = 0 meV/atom
total magnetization = 0.000 μB per formula unit
energy of formation = -269 meV/atom

Lattice parameters (Å, degrees): 3.5913 26.2760 5.0979 90.00 90.00 90.00
Last column: nearest neighbours and their distance in Å.
Space group Cmcm (No. 63)
One atom of each set of equivalent atoms:
Dy 0.0000 0.0458 0.2500 [4 per cell]  8 Zn 3.05-3.12
Dy 0.0000 0.2323 0.2500 [4 per cell]  2 Zn 3.03, 4 Dy 3.25
Tm 0.0000 0.1440 0.7500 [4 per cell]  6 Zn 3.04-3.12
Zn 0.0000 0.3605 0.7500 [4 per cell]  4 Dy 3.03-3.05, 4 Tm 3.12
Zn 0.0000 0.4494 0.2500 [4 per cell]  2 Tm 3.04, 6 Dy 3.11-3.12



Below is an optimized crystal structure of Dy3TmZn2, with properties calculated at the PBE level.

Summary:
energy above the most stable polymorph in this dataset = 0 meV/atom
total magnetization = 0.000 μB per formula unit
energy of formation = -233 meV/atom

Lattice parameters (Å, degrees): 5.0156 9.0440 6.6979 90.00 90.00 90.00
Last column: nearest neighbours and their distance in Å.
Space group Pmc2_1 (No. 26)
One atom of each set of equivalent atoms:
Dy 0.0000 0.0549 0.0000 [2 per cell]  3 Zn 3.01-3.10
Dy 0.0000 0.3284 0.3445 [2 per cell]  4 Zn 2.93-3.06
Dy 0.5000 0.1761 0.6835 [2 per cell]  4 Zn 2.98-3.04
Tm 0.5000 0.4450 0.0305 [2 per cell]  3 Zn 3.00-3.10, 1 Dy 3.36
Zn 0.0000 0.3498 0.7905 [2 per cell]  5 Dy 2.93-3.04, 2 Tm 3.10
Zn 0.5000 0.1510 0.2393 [2 per cell]  6 Dy 2.98-3.10, 1 Tm 3.00



Below is an optimized crystal structure of DyTm2Zn9, with properties calculated at the PBE level.

Summary:
total magnetization = 0.000 μB per formula unit
energy of formation = -314 meV/atom

Lattice parameters (Å, degrees): 5.4106 5.4106 25.5223 90.00 90.00 120.00
Last column: nearest neighbours and their distance in Å.
Space group R-3m (No. 166, hexagonal axes)
One atom of each set of equivalent atoms:
Dy 0.0000 0.0000 0.0000 [3 per cell]  18 Zn 3.12-3.44
Tm 0.0000 0.0000 0.1401 [6 per cell]  12 Zn 3.07-3.20, 3 Tm 3.41
Zn 0.0000 0.0000 0.3349 [6 per cell]  6 Zn 2.62-2.65
Zn 0.0000 0.0000 0.5000 [3 per cell]  6 Zn 2.66
Zn 0.0065 0.5033 0.9170 [18 per cell]  7 Zn 2.62-2.76



Below is an optimized crystal structure of Dy6TmZn2, with properties calculated at the PBE level.

Summary:
total magnetization = 0.000 μB per formula unit
energy of formation = -144 meV/atom

Lattice parameters (Å, degrees): 12.4065 3.6078 11.7129 90.00 109.62 90.00
Last column: nearest neighbours and their distance in Å.
Space group C2/m (No. 12)
One atom of each set of equivalent atoms:
Dy 0.0250 0.0000 0.3272 [4 per cell]  2 Zn 3.05, 1 Dy 3.39
Dy 0.1854 0.5000 0.5890 [4 per cell]  2 Zn 3.20, 8 Dy 3.34-3.57
Dy 0.1899 0.5000 0.8759 [4 per cell]  2 Zn 3.06, 3 Dy 3.32-3.34
Tm 0.0000 0.0000 0.0000 [2 per cell]  4 Zn 3.04
Zn 0.1473 0.5000 0.2003 [4 per cell]  2 Tm 3.04, 6 Dy 3.05-3.20



Below is an optimized crystal structure of DyTmZn, with properties calculated at the PBE level.

Summary:
energy above the most stable polymorph in this dataset = 159 meV/atom
total magnetization = 0.000 μB per formula unit
energy of formation = -54 meV/atom

Lattice parameters (Å, degrees): 4.9651 4.9651 3.5923 90.00 90.00 120.00
Last column: nearest neighbours and their distance in Å.
Space group P3m1 (No. 156)
One atom of each set of equivalent atoms:
Dy 0.0000 0.0000 0.0000 [1 per cell]  3 Zn 3.07, 3 Tm 3.32
Tm 0.3333 0.6667 0.5350 [1 per cell]  3 Zn 2.98, 3 Dy 3.32
Zn 0.6667 0.3333 0.3039 [1 per cell]  3 Tm 2.98, 3 Dy 3.07



Below is an optimized crystal structure of Dy6Tm4Zr, with properties calculated at the PBE level.

Summary:
total magnetization = 1.133 μB per formula unit
energy of formation = 158 meV/atom

Lattice parameters (Å, degrees): 8.6816 8.6816 8.8233 90.00 90.00 90.00
Last column: nearest neighbours and their distance in Å.
Space group P4/mnc (No. 128)
One atom of each set of equivalent atoms:
Dy 0.0000 0.0000 0.1745 [4 per cell]  1 Zr 2.87, 1 Dy 3.08
Dy 0.1505 0.3461 0.5000 [8 per cell]  1 Zr 3.28, 6 Tm 3.32-3.41, 2 Dy 3.66
Tm 0.1458 0.6458 0.2500 [8 per cell]  8 Dy 3.32-3.41, 1 Tm 3.58
Zr 0.0000 0.0000 0.5000 [2 per cell]  2 Dy 2.87



Below is an optimized crystal structure of Dy5Tm4Zr, with properties calculated at the PBE level.

Summary:
energy above the most stable polymorph in this dataset = 218 meV/atom
total magnetization = 0.000 μB per formula unit
energy of formation = 261 meV/atom

Lattice parameters (Å, degrees): 10.3265 10.3265 5.8427 90.00 90.00 90.00
Last column: nearest neighbours and their distance in Å.
Space group I4mm (No. 107)
One atom of each set of equivalent atoms:
Dy 0.0000 0.0000 0.0000 [2 per cell]  1 Zr 2.69
Dy 0.1848 0.1848 0.2973 [8 per cell]  1 Zr 3.05, 1 Dy 3.21, 2 Tm 3.26
Tm 0.0000 0.3218 0.7679 [8 per cell]  5 Dy 3.26-3.63, 1 Zr 3.58
Zr 0.0000 0.0000 0.5403 [2 per cell]  1 Dy 2.69